# 1
Here is crystalline BaSr2Ir at its relaxed geometry from OQMD via LeMat-Bulk. Energies are from PBE-GGA.

a = 5.658 Å, b = 5.658 Å, c = 5.658 Å
α = 60.00°, β = 60.00°, γ = 60.00°
Element x y z (fractional)
Ba 0.750 0.750 0.750
Ir 0.500 0.500 0.500
Sr 0.000 0.000 0.000
Sr 0.250 0.250 0.250

Properties
Its space group is F-43m (216). The crystal system is cubic. Its final energy is -12.97 eV for the cell shown.

# 2
Here is crystalline Ba2TaIr at its relaxed geometry from OQMD via LeMat-Bulk. Energies are from PBE-GGA.

a = 5.292 Å, b = 5.292 Å, c = 5.292 Å
α = 60.00°, β = 60.00°, γ = 60.00°
Each line ends with the local moment (μB).
Element x y z (fractional)
Ba 0.000 0.000 0.000  0.11
Ba 0.250 0.250 0.250  0.06
Ir 0.500 0.500 0.500  -0.04
Ta 0.750 0.750 0.750  0.73

Properties
Its space group is F-43m (216). The crystal system is cubic. Its final energy is -20.55 eV for the cell shown.

# 3
Here is crystalline BaTaIr at its relaxed geometry from OQMD via LeMat-Bulk. Energies are from PBE-GGA.

a = 4.708 Å, b = 4.708 Å, c = 4.708 Å
α = 60.00°, β = 60.00°, γ = 60.00°
Each line ends with the local moment (μB).
Element x y z (fractional)
Ba 0.000 0.000 0.000  0.01
Ir 0.250 0.250 0.250  -0.01
Ta 0.750 0.750 0.750  0.05

Properties
Its space group is F-43m (216). The crystal system is cubic. The distance to the lowest polymorph of the same formula is 25.02 kcal/mol of atoms.

# 4
Here is crystalline BaTaIr at its relaxed geometry from OQMD via LeMat-Bulk. Energies are from PBE-GGA.

a = 4.826 Å, b = 4.826 Å, c = 4.826 Å
α = 60.00°, β = 60.00°, γ = 60.00°
Element x y z (fractional)
Ba 0.250 0.250 0.250
Ir 0.000 0.000 0.000
Ta 0.750 0.750 0.750

Properties
Its space group is F-43m (216). The crystal system is cubic. The distance to the lowest polymorph of the same formula is 0.00 kcal/mol of atoms.

# 5
Here is crystalline BaTbIr at its relaxed geometry from OQMD via LeMat-Bulk. Energies are from PBE-GGA.

a = 4.919 Å, b = 4.919 Å, c = 4.919 Å
α = 60.00°, β = 60.00°, γ = 60.00°
Element x y z (fractional)
Ba 0.000 0.000 0.000
Ir 0.250 0.250 0.250
Tb 0.750 0.750 0.750

Properties
Its space group is F-43m (216). The crystal system is cubic. The distance to the lowest polymorph of the same formula is 22.09 kcal/mol of atoms.

# 6
Here is crystalline BaTbIr at its relaxed geometry from OQMD via LeMat-Bulk. Energies are from PBE-GGA.

a = 5.060 Å, b = 5.060 Å, c = 5.060 Å
α = 60.00°, β = 60.00°, γ = 60.00°
Element x y z (fractional)
Ba 0.750 0.750 0.750
Ir 0.000 0.000 0.000
Tb 0.250 0.250 0.250

Properties
Its space group is F-43m (216). The crystal system is cubic. The distance to the lowest polymorph of the same formula is 0.00 kcal/mol of atoms.

no.,magnetic moment (μB per formula unit)
1,0.00
2,1.32
3,0.09
4,1.29
5,0.00
6,0.00